No. 1
A plane-wave DFT calculation with PBE was carried out for an optimized crystal structure of CuPW. Values from VASP.

Cell and atoms, written as Quantum ESPRESSO input:
```
&SYSTEM
  ibrav = 0, nat = 3, ntyp = 3
/
ATOMIC_SPECIES
Cu 63.55 Cu.upf
P 30.97 P.upf
W 183.84 W.upf
CELL_PARAMETERS angstrom
4.0934 0.0000 0.0000
2.0467 3.5450 0.0000
2.0467 1.1817 3.3422
ATOMIC_POSITIONS angstrom
Cu 0.0000 0.0000 0.0000
P 4.0934 2.3633 1.6711
W 6.1400 3.5450 2.5067
```

M_tot: 1.2 μB/cell
energy: -6.9598 eV per atom
SG: F-43m

---

No. 2
A plane-wave DFT calculation with PBE was carried out for an optimized crystal structure of Cu2PW. Values from VASP.

Cell and atoms, written as Quantum ESPRESSO input:
```
&SYSTEM
  ibrav = 0, nat = 4, ntyp = 3
/
ATOMIC_SPECIES
P 30.97 P.upf
W 183.84 W.upf
Cu 63.55 Cu.upf
CELL_PARAMETERS angstrom
-0.9607 -0.1372 3.2200
3.2213 0.0664 0.9639
-0.1483 4.8412 0.1621
ATOMIC_POSITIONS angstrom
P 1.0932 1.1749 2.1325
W 1.0190 3.5955 2.2135
Cu -0.0001 0.0030 0.0001
Cu -0.0741 2.4176 0.0809
```

M_tot: 0.0 μB/cell
energy: -6.3281 eV per atom
SG: P4/mmm

---

No. 3
A plane-wave DFT calculation with PBE was carried out for an optimized crystal structure of CuPW2. Values from VASP.

Cell and atoms, written as Quantum ESPRESSO input:
```
&SYSTEM
  ibrav = 0, nat = 4, ntyp = 3
/
ATOMIC_SPECIES
W 183.84 W.upf
P 30.97 P.upf
Cu 63.55 Cu.upf
CELL_PARAMETERS angstrom
-0.9493 -3.6280 0.2448
2.6874 -0.7315 -0.4193
2.4085 -0.2866 5.0923
ATOMIC_POSITIONS angstrom
W 4.8180 -0.9456 4.6691
W 2.8259 -0.5815 2.3403
P 3.3473 -2.5776 3.6271
Cu 0.7993 -2.0685 1.2906
```

M_tot: 0.0 μB/cell
energy: -8.5799 eV per atom
SG: P2/m

---

Q: What is the energy in the first record?
A: -6.9598 eV per atom

---

Q: M_tot of number 2 (Cu2PW)?
A: 0.0 μB/cell

---

Q: Which formula does entry 1 have?
A: CuPW